No. 1
The following is a PBE calculation of HfAgS2O8 after structural relaxation, from Alexandria.

a = 5.4726 Å, b = 5.4726 Å, c = 7.4224 Å
α = 90.00°, β = 90.00°, γ = 120.00°
Closest atoms and distances in Å follow each position.
Fractional positions:
Hf 0.0000 0.0000 0.0000  6 O 2.08
Ag 0.0000 0.0000 0.5000  12 O 3.16-3.22
S 0.3333 0.6667 0.7767  4 O 1.43-1.50
S 0.6667 0.3333 0.2233  4 O 1.43-1.50
O 0.1863 0.3726 0.8528  1 S 1.50
O 0.1863 0.8137 0.8528  1 S 1.50
O 0.3333 0.6667 0.5838  1 S 1.43
O 0.3726 0.1863 0.1472  1 S 1.50
O 0.6274 0.8137 0.8528  1 S 1.50
O 0.6667 0.3333 0.4162  1 S 1.43
O 0.8137 0.1863 0.1472  1 S 1.50
O 0.8137 0.6274 0.1472  1 S 1.50

Values from the calculation:
As for the formation energy without anion corrections: -1.52 eV per atom. As for the space group: No. 164. For the density of states at the Fermi level, the calculation gives 0.262 states/eV per atom.

=====

No. 2
The following is a PBE calculation of YAlSi after structural relaxation, from Alexandria.

a = 4.5080 Å, b = 4.5080 Å, c = 4.5080 Å
α = 60.00°, β = 60.00°, γ = 60.00°
Closest atoms and distances in Å follow each position.
Fractional positions:
Y 0.0000 0.0000 0.0000  4 Si 2.76
Al 0.5000 0.5000 0.5000  4 Si 2.76
Si 0.7500 0.7500 0.7500  4 Al 2.76, 4 Y 2.76

Values from the calculation:
As for the formation energy without anion corrections: -0.20 eV per atom. As for the space group: No. 216. For the density of states at the Fermi level, the calculation gives 0.500 states/eV per atom.

=====

No. 3
The following is a PBE calculation of PuMgAlTl after structural relaxation, from Alexandria.

a = 5.1259 Å, b = 5.1259 Å, c = 5.1259 Å
α = 60.00°, β = 60.00°, γ = 60.00°
Closest atoms and distances in Å follow each position.
Fractional positions:
Pu 0.0000 0.0000 0.0000  4 Tl 3.14, 4 Al 3.14
Mg 0.5000 0.5000 0.5000  4 Al 3.14, 4 Tl 3.14
Al 0.7500 0.7500 0.7500  4 Mg 3.14, 4 Pu 3.14
Tl 0.2500 0.2500 0.2500  4 Mg 3.14, 4 Pu 3.14

Values from the calculation:
As for the space group: No. 216. The value obtained for the energy relative to the elements is -0.035 eV per atom. For the density of states at the Fermi level, the calculation gives 2.770 states/eV per atom.

=====

No. 4
The following is a PBE calculation of PmThC2 after structural relaxation, from Alexandria.

a = 6.4691 Å, b = 6.4691 Å, c = 6.4691 Å
α = 33.72°, β = 33.72°, γ = 33.72°
Closest atoms and distances in Å follow each position.
Fractional positions:
Pm 0.0000 0.0000 0.0000  6 C 2.69
Th 0.5000 0.5000 0.5000  6 C 2.61
C 0.2460 0.2460 0.2460  3 Th 2.61, 3 Pm 2.69
C 0.7540 0.7540 0.7540  3 Th 2.61, 3 Pm 2.69

Values from the calculation:
As for the space group: No. 166. The value obtained for the energy relative to the elements is -0.049 eV per atom. As for the excess energy over the best structure of this formula in the dataset: 0.000 eV/f.u. For the density of states at the Fermi level, the calculation gives 1.296 states/eV per atom.

=====

no.,size of the total moment (μB per formula unit)
1,0.00
2,0.00
3,5.75
4,0.00